[1]
The following is a meta-GGA SCAN calculation of a crystal of SrIrF2 relaxed with PBEsol, from Alexandria via LeMat-Bulk. Values from VASP.

- Volume: 15.4 A^3/atom
- Calculated total energy: -26.271 eV per atom
- Calculated density: 8.577 g/cm3
- SG: Fm-3m
- E_form (uncorrected): -1.158 eV/atom

```
&SYSTEM
  ibrav = 0, nat = 4, ntyp = 3
/
ATOMIC_SPECIES
Sr 87.62 Sr.upf
Ir 192.22 Ir.upf
F 19.00 F.upf
CELL_PARAMETERS angstrom
0.000 3.134 3.134
3.134 0.000 3.134
3.134 3.134 0.000
ATOMIC_POSITIONS angstrom
Sr 0.000 0.000 0.000
Ir 3.134 3.134 3.134
F 1.567 1.567 1.567
F 4.700 4.700 4.700
```

---

[2]
The following is a meta-GGA SCAN calculation of a crystal of MgAsPt2 relaxed with PBEsol, from Alexandria via LeMat-Bulk. Values from VASP.

- Volume: 15.6 A^3/atom
- Calculated total energy: -41.892 eV per atom
- Calculated density: 13.044 g/cm3
- Calculated formation energy: -0.50 eV/atom
- SG: I4/mmm

```
&SYSTEM
  ibrav = 0, nat = 4, ntyp = 3
/
ATOMIC_SPECIES
Mg 24.30 Mg.upf
As 74.92 As.upf
Pt 195.08 Pt.upf
CELL_PARAMETERS angstrom
-2.005 2.005 3.874
2.005 -2.005 3.874
2.005 2.005 -3.874
ATOMIC_POSITIONS angstrom
Mg 0.000 0.000 0.000
As 0.000 0.000 3.874
Pt 2.005 0.000 1.937
Pt 0.000 2.005 1.937
```

---

[3]
The following is a meta-GGA SCAN calculation of a crystal of InMo2I relaxed with PBEsol, from Alexandria via LeMat-Bulk. Values from VASP.

- Volume: 17.8 A^3/atom
- Calculated total energy: -33.979 eV per atom
- Calculated density: 10.135 g/cm3
- SG: Fm-3m
- E_form (uncorrected): 0.996 eV/atom

```
&SYSTEM
  ibrav = 0, nat = 4, ntyp = 3
/
ATOMIC_SPECIES
In 114.82 In.upf
Mo 95.94 Mo.upf
I 126.90 I.upf
CELL_PARAMETERS angstrom
0.000 3.287 3.287
3.287 0.000 3.287
3.287 3.287 0.000
ATOMIC_POSITIONS angstrom
In 0.000 0.000 0.000
Mo 1.644 1.644 1.644
Mo 4.931 4.931 4.931
I 3.287 3.287 3.287
```